Here is Ca2MgIr at its PBEsol-relaxed geometry from the Alexandria database. Energies are from SCAN.

Calculated values
The total magnetization is 0.0000 μB/atom. Its total energy is -24.06 eV per atom. The calculation puts the formation energy at -0.211 eV/atom.

a b c (Å): 4.2387 4.3815 5.8161
angles (deg): 90.00 111.37 90.00
Closest atoms and distances in Å follow each position.
Fractional positions:
Ca  0.3887  0.5000  0.7774  3 Mg 3.03-3.25, 4 Ir 3.16
Mg  0.6889  0.5000  0.3778  2 Ir 2.57
Ca  0.1059  0.0000  0.2118  3 Ir 3.08-3.18, 4 Mg 3.18
Ir  0.8125  0.0000  0.6251  2 Mg 2.57

---

Here is CsNa3Pb at its PBEsol-relaxed geometry from the Alexandria database. Energies are from SCAN.

Calculated values
The total magnetization is 0.0055 μB/atom. Its total energy is -25.45 eV per atom. The calculation puts the formation energy at -0.199 eV/atom.

a b c (Å): 6.0689 6.0689 6.0689
angles (deg): 90.00 90.00 90.00
Closest atoms and distances in Å follow each position.
Fractional positions:
Cs  0.5000  0.5000  0.5000  12 Na 4.29
Na  0.5000  0.0000  0.0000  2 Pb 3.03
Pb  0.0000  0.0000  0.0000  6 Na 3.03
Na  0.0000  0.5000  0.0000  2 Pb 3.03
Na  0.0000  0.0000  0.5000  2 Pb 3.03

---

Here is SrTa2Pb at its PBEsol-relaxed geometry from the Alexandria database. Energies are from SCAN.

Calculated values
The total magnetization is 0.0003 μB/atom. Its total energy is -57.56 eV per atom. The calculation puts the formation energy at 0.250 eV/atom.

a b c (Å): 3.5347 3.5347 7.7958
angles (deg): 90.00 90.00 90.00
Closest atoms and distances in Å follow each position.
Fractional positions:
Ta  0.5000  0.5000  0.2150  4 Ta 2.74
Sr  0.5000  0.5000  0.7621  5 Ta 3.46-3.53, 4 Pb 3.47, 4 Sr 3.53
Pb  0.0000  0.0000  0.4532  5 Ta 2.99-3.11
Ta  0.0000  0.0000  0.0696  4 Ta 2.74, 1 Pb 2.99

---

Here is CoHgTe2N at its PBEsol-relaxed geometry from the Alexandria database. Energies are from SCAN.

Calculated values
For the raw formation energy, the calculation gives 1.6 eV/f.u. The total magnetization is 0.0000 μB/atom. Its total energy is -33.53 eV per atom.

a b c (Å): 3.3661 5.3780 5.3780
angles (deg): 90.00 90.00 90.00
Closest atoms and distances in Å follow each position.
Fractional positions:
Te  0.0000  0.5000  0.0000  2 Co 2.69
Co  0.0000  0.0000  0.0000  2 N 1.68
Te  0.0000  0.0000  0.5000  2 Co 2.69
N  0.5000  0.0000  0.0000  2 Co 1.68
Hg  0.5000  0.5000  0.5000  8 Te 3.17, 2 Hg 3.37

---

Here is Ca2Zn2Bi at its PBEsol-relaxed geometry from the Alexandria database. Energies are from SCAN.

Calculated values
As for the energy above the most stable polymorph in this dataset: 3.41 kcal/mol of atoms. The total magnetization is 0.0000 μB/atom. Its total energy is -25.20 eV per atom. The calculation puts the formation energy at -0.214 eV/atom.

a b c (Å): 5.7748 5.7619 5.7748
angles (deg): 59.93 90.00 120.07
Closest atoms and distances in Å follow each position.
Fractional positions:
Ca  0.7500  0.5000  0.7500  4 Zn 3.02
Zn  0.3574  0.7148  0.6426  1 Zn 2.32
Ca  0.2500  0.5000  0.2500  4 Zn 3.02
Zn  0.6426  0.2852  0.3574  1 Zn 2.32
Bi  0.0000  0.0000  0.0000  2 Zn 2.91

---

Here is ZnAs2BrO at its PBEsol-relaxed geometry from the Alexandria database. Energies are from SCAN.

Calculated values
For the raw formation energy, the calculation gives 1.4 eV/f.u. The total magnetization is 0.0000 μB/atom. Its total energy is -15.64 eV per atom.

a b c (Å): 4.0419 4.0419 6.3213
angles (deg): 90.00 90.00 90.00
Closest atoms and distances in Å follow each position.
Fractional positions:
As  0.0000  0.5000  0.0000  2 O 2.02
O  0.0000  0.0000  0.0000  4 As 2.02
Br  0.0000  0.0000  0.5000  4 Zn 2.86, 2 O 3.16
As  0.5000  0.0000  0.0000  2 O 2.02
Zn  0.5000  0.5000  0.5000  4 Br 2.86

---

Here is Ag2Au at its PBEsol-relaxed geometry from the Alexandria database. Energies are from SCAN.

Calculated values
As for the energy above the most stable polymorph in this dataset: 0.47 kcal/mol of atoms. The total magnetization is 0.0000 μB/atom. Its total energy is -44.02 eV per atom. The calculation puts the formation energy at -0.055 eV/atom.

a b c (Å): 2.8439 5.5255 6.8442
angles (deg): 105.30 90.00 104.91
Closest atoms and distances in Å follow each position.
Fractional positions:
Ag  0.9732  0.9463  0.6952  7 Ag 2.84-2.88, 5 Au 2.87-2.89
Au  0.3048  0.6097  0.3589  4 Au 2.84-2.89, 8 Ag 2.86-2.89
Ag  0.0268  0.0537  0.3048  7 Ag 2.84-2.88, 5 Au 2.87-2.89
Ag  0.3622  0.7243  0.9732  9 Ag 2.84-2.89, 3 Au 2.86-2.87
Au  0.6952  0.3903  0.6411  4 Au 2.84-2.89, 8 Ag 2.86-2.89
Ag  0.6378  0.2757  0.0268  9 Ag 2.84-2.89, 3 Au 2.86-2.87

---

Here is TiTl2TeP at its PBEsol-relaxed geometry from the Alexandria database. Energies are from SCAN.

Calculated values
For the raw formation energy, the calculation gives 2.7 eV/f.u. The total magnetization is 0.3485 μB/atom. Its total energy is -41.13 eV per atom.

a b c (Å): 5.0276 5.4442 5.4442
angles (deg): 90.00 90.00 90.00
Closest atoms and distances in Å follow each position.
Fractional positions:
Tl  0.0000  0.5000  0.0000  2 Ti 2.72
P  0.5000  0.5000  0.5000  8 Tl 3.71, 4 Te 3.85
Ti  0.0000  0.0000  0.0000  2 Te 2.51, 4 Tl 2.72
Te  0.5000  0.0000  0.0000  2 Ti 2.51
Tl  0.0000  0.0000  0.5000  2 Ti 2.72

---

Here is ReAg2HgBi at its PBEsol-relaxed geometry from the Alexandria database. Energies are from SCAN.

Calculated values
The total magnetization is 0.8864 μB/atom. Its total energy is -54.35 eV per atom. The calculation puts the formation energy at 1.763 eV/atom.

a b c (Å): 4.9964 4.9964 5.5279
angles (deg): 90.00 90.00 90.00
Closest atoms and distances in Å follow each position.
Fractional positions:
Bi  0.0000  0.0000  0.5000  2 Hg 2.76
Ag  0.5000  0.0000  0.0000  2 Hg 2.50
Re  0.5000  0.5000  0.5000  4 Bi 3.53, 8 Ag 3.73
Hg  0.0000  0.0000  0.0000  4 Ag 2.50, 2 Bi 2.76
Ag  0.0000  0.5000  0.0000  2 Hg 2.50

---

Here is CoRu2W at its PBEsol-relaxed geometry from the Alexandria database. Energies are from SCAN.

Calculated values
As for the energy above the most stable polymorph in this dataset: 1.13 kcal/mol of atoms. The total magnetization is 0.0000 μB/atom. Its total energy is -39.07 eV per atom. The calculation puts the formation energy at 0.090 eV/atom.

a b c (Å): 3.7346 3.7346 4.5805
angles (deg): 114.06 114.06 90.00
Closest atoms and distances in Å follow each position.
Fractional positions:
W  0.5000  0.5000  0.0000  8 Ru 2.64, 4 Co 2.64
Co  0.2500  0.7500  0.5000  8 Ru 2.64, 4 W 2.64
Ru  0.0000  0.0000  0.0000  4 W 2.64, 4 Co 2.64, 4 Ru 2.64
Ru  0.7500  0.2500  0.5000  4 Co 2.64, 4 W 2.64, 4 Ru 2.64

---

Here is Te2RhPb at its PBEsol-relaxed geometry from the Alexandria database. Energies are from SCAN.

Calculated values
For the raw formation energy, the calculation gives 1.2 eV/f.u. The total magnetization is 0.0000 μB/atom. Its total energy is -45.72 eV per atom.

a b c (Å): 3.4848 5.1619 5.1619
angles (deg): 90.00 90.00 90.00
Closest atoms and distances in Å follow each position.
Fractional positions:
Te  0.0000  0.5000  0.0000  4 Rh 3.11, 4 Pb 3.11, 2 Te 3.48
Rh  0.5000  0.0000  0.0000  8 Te 3.11, 2 Rh 3.48
Te  0.0000  0.0000  0.5000  4 Pb 3.11, 4 Rh 3.11, 2 Te 3.48
Pb  0.5000  0.5000  0.5000  8 Te 3.11, 2 Pb 3.48

---

Here is BaSr2In at its PBEsol-relaxed geometry from the Alexandria database. Energies are from SCAN.

Calculated values
As for the energy above the most stable polymorph in this dataset: 2.34 kcal/mol of atoms. The total magnetization is 0.0009 μB/atom. Its total energy is -29.55 eV per atom. The calculation puts the formation energy at -0.175 eV/atom.

a b c (Å): 5.7280 6.2097 5.7280
angles (deg): 62.53 90.00 117.47
Closest atoms and distances in Å follow each position.
Fractional positions:
Sr  0.2500  0.5000  0.2500  4 Ba 3.71, 4 In 3.71, 4 Sr 4.05
Ba  0.5000  0.0000  0.5000  8 Sr 3.71, 4 In 4.05
Sr  0.7500  0.5000  0.7500  4 In 3.71, 4 Ba 3.71, 4 Sr 4.05
In  0.0000  0.0000  0.0000  8 Sr 3.71, 4 Ba 4.05